Run i
# LaNdPtRh

A relaxed LaNdPtRh crystal (GGA-PBE, the Alexandria database).

POSCAR file:
```
LaNdPtRh
1.0
4.3772 0.0000 0.0000
0.0000 3.9752 0.0000
0.0000 0.0000 11.1262
La Nd Pt Rh
2 2 2 2
direct
0.0000 0.0000 0.0000 La
0.0000 0.5000 0.5000 La
0.5000 0.0000 0.2765 Nd
0.5000 0.5000 0.7765 Nd
0.0000 0.0000 0.7233 Pt
0.0000 0.5000 0.2233 Pt
0.5000 0.0000 0.5446 Rh
0.5000 0.5000 0.0446 Rh
```

Output
Its symmetry is Amm2, No. 38.

---

Run ii
# LaNdPtRh

A relaxed LaNdPtRh crystal (GGA-PBE, the Alexandria database).

POSCAR file:
```
LaNdPtRh
1.0
7.2035 0.0000 0.0000
0.0000 7.2035 0.0000
0.0000 0.0000 7.2035
La Nd Pt Rh
4 4 4 4
direct
0.0000 0.0000 0.0000 La
0.0000 0.5000 0.5000 La
0.5000 0.0000 0.5000 La
0.5000 0.5000 0.0000 La
0.0000 0.0000 0.5000 Nd
0.0000 0.5000 0.0000 Nd
0.5000 0.0000 0.0000 Nd
0.5000 0.5000 0.5000 Nd
0.2500 0.2500 0.7500 Pt
0.2500 0.7500 0.2500 Pt
0.7500 0.2500 0.2500 Pt
0.7500 0.7500 0.7500 Pt
0.2500 0.2500 0.2500 Rh
0.2500 0.7500 0.7500 Rh
0.7500 0.2500 0.7500 Rh
0.7500 0.7500 0.2500 Rh
```

Output
Its symmetry is F-43m, No. 216.

---

The most stable arrangement is run i, and the next structure is 95 meV/atom less stable.

---

Run i
# LaNdZnPt

A relaxed LaNdZnPt crystal (GGA-PBE, the Alexandria database).

POSCAR file:
```
LaNdZnPt
1.0
4.5282 0.0000 0.0000
0.0000 3.9993 0.0000
0.0000 0.0000 11.3686
La Nd Zn Pt
2 2 2 2
direct
0.0000 0.0000 0.0000 La
0.0000 0.5000 0.5000 La
0.5000 0.0000 0.2760 Nd
0.5000 0.5000 0.7760 Nd
0.0000 0.0000 0.7144 Zn
0.0000 0.5000 0.2144 Zn
0.5000 0.0000 0.5672 Pt
0.5000 0.5000 0.0672 Pt
```

Output
Its symmetry is Amm2, No. 38.

---

Run ii
# LaNdZnPt

A relaxed LaNdZnPt crystal (GGA-PBE, the Alexandria database).

POSCAR file:
```
LaNdZnPt
1.0
7.3542 0.0000 0.0000
0.0000 7.3542 0.0000
0.0000 0.0000 7.3542
La Nd Zn Pt
4 4 4 4
direct
0.0000 0.0000 0.0000 La
0.0000 0.5000 0.5000 La
0.5000 0.0000 0.5000 La
0.5000 0.5000 0.0000 La
0.0000 0.0000 0.5000 Nd
0.0000 0.5000 0.0000 Nd
0.5000 0.0000 0.0000 Nd
0.5000 0.5000 0.5000 Nd
0.2500 0.2500 0.7500 Zn
0.2500 0.7500 0.2500 Zn
0.7500 0.2500 0.2500 Zn
0.7500 0.7500 0.7500 Zn
0.2500 0.2500 0.2500 Pt
0.2500 0.7500 0.7500 Pt
0.7500 0.2500 0.7500 Pt
0.7500 0.7500 0.2500 Pt
```

Output
Its symmetry is F-43m, No. 216.

---

The most stable arrangement is run i, and the next structure is 69 meV/atom less stable.

---

Run i
# LaNd2Pu

A relaxed LaNd2Pu crystal (GGA-PBE, the Alexandria database).

POSCAR file:
```
LaNd2Pu
1.0
3.5434 0.0000 0.0000
-1.7717 3.0687 0.0000
0.0000 0.0000 37.8285
La Nd Pu
3 6 3
direct
0.0000 0.0000 0.0000 La
0.3333 0.6667 0.6667 La
0.6667 0.3333 0.3333 La
0.0000 0.0000 0.4132 Nd
0.0000 0.0000 0.5868 Nd
0.3333 0.6667 0.0799 Nd
0.3333 0.6667 0.2534 Nd
0.6667 0.3333 0.7466 Nd
0.6667 0.3333 0.9201 Nd
0.0000 0.0000 0.5000 Pu
0.3333 0.6667 0.1667 Pu
0.6667 0.3333 0.8333 Pu
```

Output
Its symmetry is R-3m, No. 166.

---

Run ii
# LaNd2Pu

A relaxed LaNd2Pu crystal (GGA-PBE, the Alexandria database).

POSCAR file:
```
LaNd2Pu
1.0
3.6157 0.0000 0.0000
0.0000 3.6157 0.0000
0.0000 0.0000 10.3121
La Nd Pu
1 2 1
direct
0.0000 0.0000 0.0000 La
0.5000 0.5000 0.2634 Nd
0.5000 0.5000 0.7366 Nd
0.0000 0.0000 0.5000 Pu
```

Output
Its symmetry is P4/mmm, No. 123.

---

The most stable arrangement is run ii, and the next structure is 153 meV/atom less stable.

---

Run i
# La2NdPu

A relaxed La2NdPu crystal (GGA-PBE, the Alexandria database).

POSCAR file:
```
La2NdPu
1.0
3.6218 0.0000 0.0000
0.0000 3.6218 0.0000
0.0000 0.0000 10.3000
La Nd Pu
2 1 1
direct
0.0000 0.0000 0.2372 La
0.0000 0.0000 0.7628 La
0.5000 0.5000 0.5000 Nd
0.5000 0.5000 0.0000 Pu
```

Output
Its symmetry is P4/mmm, No. 123.

---

Run ii
# La2NdPu

A relaxed La2NdPu crystal (GGA-PBE, the Alexandria database).

POSCAR file:
```
La2NdPu
1.0
3.6587 0.0000 0.0000
-1.8294 3.1686 0.0000
0.0000 0.0000 35.3593
La Nd Pu
6 3 3
direct
0.0000 0.0000 0.0000 La
0.0000 0.0000 0.1735 La
0.3333 0.6667 0.6667 La
0.3333 0.6667 0.8401 La
0.6667 0.3333 0.3333 La
0.6667 0.3333 0.5068 La
0.0000 0.0000 0.4195 Nd
0.3333 0.6667 0.0861 Nd
0.6667 0.3333 0.7528 Nd
0.0000 0.0000 0.5873 Pu
0.3333 0.6667 0.2540 Pu
0.6667 0.3333 0.9206 Pu
```

Output
Its symmetry is R3m, No. 160.

---

Run iii
# La2NdPu

A relaxed La2NdPu crystal (GGA-PBE, the Alexandria database).

POSCAR file:
```
La2NdPu
1.0
5.1536 0.0000 0.0000
0.0000 5.1536 0.0000
0.0000 0.0000 5.0414
La Nd Pu
2 1 1
direct
0.0000 0.5000 0.0000 La
0.5000 0.0000 0.0000 La
0.0000 0.0000 0.5000 Nd
0.5000 0.5000 0.5000 Pu
```

Output
Its symmetry is P4/mmm, No. 123.

---

The most stable arrangement is run i, and the next structure is 15 meV/atom less stable.